P | A plane-wave DFT calculation with PBE was carried out for crystalline BiHAu at its relaxed geometry.

Lattice parameters (Å, degrees): 4.1754 4.1754 6.7598 90.00 90.00 90.00
Atoms (fractional coordinates):
Bi1 0.0000 0.0000 0.0000
Bi2 0.5000 0.5000 0.5000
H1 0.0000 0.0000 0.6897
H2 0.5000 0.5000 0.1897
Au1 0.0000 0.0000 0.4349
Au2 0.5000 0.5000 0.9349

DOS(E_F) ... 1.28 states/eV per cell
Symmetry ... I4mm, No. 107
V ... 118 Å³/cell
Theoretical density ... 11.5 g cm⁻³
Total magnetic moment ... 0.00 μB/f.u.


Q | A plane-wave DFT calculation with PBE was carried out for crystalline BiHAu at its relaxed geometry.

Lattice parameters (Å, degrees): 10.3448 10.3448 4.7592 90.00 90.00 90.00
Atoms (fractional coordinates):
Bi1 0.0284 0.2953 0.3440
Bi2 0.2047 0.4716 0.8440
Bi3 0.2953 0.9716 0.6560
Bi4 0.4716 0.7953 0.1560
Bi5 0.5284 0.2047 0.1560
Bi6 0.7047 0.0284 0.6560
Bi7 0.7953 0.5284 0.8440
Bi8 0.9716 0.7047 0.3440
H1 0.1022 0.6084 0.5541
H2 0.1084 0.6022 0.0541
H3 0.3916 0.1022 0.4459
H4 0.3978 0.1084 0.9459
H5 0.6022 0.8916 0.9459
H6 0.6084 0.8978 0.4459
H7 0.8916 0.3978 0.0541
H8 0.8978 0.3916 0.5541
Au1 0.0743 0.1246 0.7990
Au2 0.1246 0.9257 0.2010
Au3 0.3754 0.4257 0.2990
Au4 0.4257 0.6246 0.7010
Au5 0.5743 0.3754 0.7010
Au6 0.6246 0.5743 0.2990
Au7 0.8754 0.0743 0.2010
Au8 0.9257 0.8754 0.7990

DOS(E_F) ... 7.77 states/eV per cell
Symmetry ... P-42_1c, No. 114
V ... 509 Å³/cell
Theoretical density ... 10.6 g cm⁻³
Total magnetic moment ... 0.00 μB/f.u.


R | A plane-wave DFT calculation with PBE was carried out for crystalline BiHAu at its relaxed geometry.

Lattice parameters (Å, degrees): 4.3164 4.3248 6.7432 72.57 89.99 89.68
Atoms (fractional coordinates):
Bi1 0.2483 0.1438 0.2855
Bi2 0.7517 0.8562 0.7145
H1 0.2516 0.3926 0.8967
H2 0.7484 0.6074 0.1033
Au1 0.2502 0.3515 0.6556
Au2 0.7498 0.6485 0.3444

DOS(E_F) ... 1.23 states/eV per cell
Symmetry ... P-1, No. 2
V ... 120 Å³/cell
Theoretical density ... 11.3 g cm⁻³
Total magnetic moment ... 0.00 μB/f.u.


It is Q that is the least stable of them.


P | A plane-wave DFT calculation with PBE was carried out for crystalline Bi2HAu2 at its relaxed geometry.

Lattice parameters (Å, degrees): 6.8942 6.8942 4.7163 90.00 90.00 90.00
Atoms (fractional coordinates):
Bi1 0.1893 0.3107 0.0000
Bi2 0.3107 0.8107 0.0000
Bi3 0.6893 0.1893 0.0000
Bi4 0.8107 0.6893 0.0000
H1 0.0000 0.0000 0.0000
H2 0.5000 0.5000 0.0000
Au1 0.1427 0.6427 0.5000
Au2 0.3573 0.1427 0.5000
Au3 0.6427 0.8573 0.5000
Au4 0.8573 0.3573 0.5000

DOS(E_F) ... 3.33 states/eV per cell
Symmetry ... P4/mbm, No. 127
V ... 224 Å³/cell
Theoretical density ... 12.0 g cm⁻³
Total magnetic moment ... 0.00 μB/f.u.


Q | A plane-wave DFT calculation with PBE was carried out for crystalline Bi2HAu2 at its relaxed geometry.

Lattice parameters (Å, degrees): 3.8503 3.8503 15.8409 90.00 90.00 90.00
Atoms (fractional coordinates):
Bi1 0.0000 0.0000 0.1021
Bi2 0.0000 0.0000 0.8979
Bi3 0.5000 0.5000 0.3979
Bi4 0.5000 0.5000 0.6021
H1 0.0000 0.0000 0.5000
H2 0.5000 0.5000 0.0000
Au1 0.0000 0.5000 0.2500
Au2 0.0000 0.5000 0.7500
Au3 0.5000 0.0000 0.2500
Au4 0.5000 0.0000 0.7500

DOS(E_F) ... 5.08 states/eV per cell
Symmetry ... I4/mmm, No. 139
V ... 235 Å³/cell
Theoretical density ... 11.5 g cm⁻³
Total magnetic moment ... 0.00 μB/f.u.


It is Q that is the least stable of them.